No. 1
Here is an optimized crystal structure of ScNbAlC2 from the Alexandria database. Energies are from PBE.

Output
DFT total energy ... -29.32 eV per formula unit
DFT formation energy ... 1.8534 eV/atom
Total magnetic moment ... 0.0 μB/cell

a b c (Å): 4.0553 4.0553 5.0560
angles (deg): 90.00 90.00 90.00
Fractional positions:
Sc: 0.0000 0.0000 0.0000
Nb: 0.5000 0.5000 0.5000
Al: 0.0000 0.0000 0.5000
C: 0.0000 0.5000 0.0000
C: 0.5000 0.0000 0.0000

No. 2
Here is an optimized crystal structure of LaNiW2 from the Alexandria database. Energies are from PBE.

Output
DFT total energy ... -34.35 eV per formula unit
DFT formation energy ... 0.5665 eV/atom
Total magnetic moment ... 0.0 μB/cell

a b c (Å): 2.8314 3.4982 7.5704
angles (deg): 90.00 90.00 90.00
Fractional positions:
La: 0.0000 0.0000 0.0000
Ni: 0.0000 0.0000 0.5000
W: 0.5000 0.5000 0.3281
W: 0.5000 0.5000 0.6719

No. 3
Here is an optimized crystal structure of Ca5Cr2N6 from the Alexandria database. Energies are from PBE.

Output
DFT total energy ... -90.20 eV per formula unit
Formation energy from raw total energies ... -10.99 eV per formula unit
Total magnetic moment ... 0.0 μB/cell

a b c (Å): 6.3922 4.9782 6.9768
angles (deg): 90.00 105.10 90.00
Fractional positions:
Ca: 0.0000 0.0000 0.0000
Ca: 0.1276 0.0000 0.5499
Ca: 0.3355 0.5000 0.3252
Ca: 0.4742 0.5000 0.8264
Ca: 0.8169 0.5000 0.2796
Cr: 0.5040 0.0000 0.1388
Cr: 0.9297 0.5000 0.7229
N: 0.1229 0.5000 0.5760
N: 0.3197 0.0000 0.2835
N: 0.3876 0.0000 0.8884
N: 0.6725 0.5000 0.5808
N: 0.7827 0.0000 0.2364
N: 0.9650 0.5000 0.9789

No. 4
Here is an optimized crystal structure of Ho2Th3Sc3 from the Alexandria database. Energies are from PBE.

Output
DFT total energy ... -50.11 eV per formula unit
DFT formation energy ... 0.0379 eV/atom
Total magnetic moment ... 0.0 μB/cell

a b c (Å): 10.5240 10.5240 10.5240
angles (deg): 154.01 152.90 37.90
Fractional positions:
Ho: 0.2486 0.2486 0.0000
Ho: 0.7514 0.7514 0.0000
Th: 0.0000 0.0000 0.0000
Th: 0.3770 0.8770 0.5000
Th: 0.6230 0.1230 0.5000
Sc: 0.1230 0.6230 0.5000
Sc: 0.5000 0.5000 0.0000
Sc: 0.8770 0.3770 0.5000

No. 5
Here is an optimized crystal structure of Pa2TiZn from the Alexandria database. Energies are from PBE.

Output
DFT total energy ... -27.99 eV per formula unit
DFT formation energy ... 0.0432 eV/atom
Total magnetic moment ... 0.0 μB/cell

a b c (Å): 4.2479 4.2479 4.6060
angles (deg): 90.00 90.00 90.00
Fractional positions:
Pa: 0.0000 0.5000 0.0000
Pa: 0.5000 0.0000 0.0000
Ti: 0.0000 0.0000 0.5000
Zn: 0.5000 0.5000 0.5000

No. 6
Here is an optimized crystal structure of Hg5Rh from the Alexandria database. Energies are from PBE.

Output
DFT total energy ... -5.89 eV per formula unit
DFT formation energy ... 0.4954 eV/atom
Total magnetic moment ... 0.0 μB/cell

a b c (Å): 5.7845 5.7845 5.7845
angles (deg): 60.00 60.00 60.00
Fractional positions:
Hg: 0.0000 0.0000 0.0000
Hg: 0.3755 0.3755 0.3755
Hg: 0.3755 0.3755 0.8735
Hg: 0.3755 0.8735 0.3755
Hg: 0.8735 0.3755 0.3755
Rh: 0.7500 0.7500 0.7500